1.
# Tl2Se2I (PBE-GGA, relaxed)
data_Tl2Se2I
_chemical_formula_sum 'Tl4 Se4 I2'
_cell_length_a 8.805
_cell_length_b 8.805
_cell_length_c 3.689
_cell_angle_alpha 90.00
_cell_angle_beta 90.00
_cell_angle_gamma 90.00
_symmetry_space_group_name_H-M 'P 1'
_symmetry_Int_Tables_number 1
_symmetry_space_group_name_Hall 'P 1'
loop_
_atom_site_label
_atom_site_type_symbol
_atom_site_fract_x
_atom_site_fract_y
_atom_site_fract_z
I1 I 0.000 0.000 0.000
I2 I 0.500 0.500 0.000
Tl1 Tl 0.343 0.843 0.000
Tl2 Tl 0.843 0.657 0.000
Tl3 Tl 0.657 0.157 0.000
Tl4 Tl 0.157 0.343 0.000
Se1 Se 0.141 0.641 0.500
Se2 Se 0.641 0.859 0.500
Se3 Se 0.859 0.359 0.500
Se4 Se 0.359 0.141 0.500
# uncorrected energy	-2.63	eV/atom
# DOS(E_F)	4.1	states/eV/f.u.

=====

2.
# Tl4Se3I (PBE-GGA, relaxed)
data_Tl4Se3I
_chemical_formula_sum 'Tl8 Se6 I2'
_cell_length_a 6.779
_cell_length_b 10.432
_cell_length_c 8.160
_cell_angle_alpha 90.00
_cell_angle_beta 90.00
_cell_angle_gamma 90.00
_symmetry_space_group_name_H-M 'P 1'
_symmetry_Int_Tables_number 1
_symmetry_space_group_name_Hall 'P 1'
loop_
_atom_site_label
_atom_site_type_symbol
_atom_site_fract_x
_atom_site_fract_y
_atom_site_fract_z
Tl1 Tl 0.135 0.726 0.000
Tl2 Tl 0.538 0.075 0.000
Tl3 Tl 0.092 0.368 0.196
Tl4 Tl 0.592 0.632 0.304
Tl5 Tl 0.038 0.925 0.500
Tl6 Tl 0.635 0.274 0.500
Tl7 Tl 0.592 0.632 0.696
Tl8 Tl 0.092 0.368 0.804
Se1 Se 0.535 0.759 0.000
Se2 Se 0.046 0.641 0.298
Se3 Se 0.546 0.359 0.202
Se4 Se 0.035 0.241 0.500
Se5 Se 0.546 0.359 0.798
Se6 Se 0.046 0.641 0.702
I1 I 0.032 0.010 0.000
I2 I 0.532 0.990 0.500
# uncorrected energy	-2.99	eV/atom
# DOS(E_F)	2.5	states/eV/f.u.

=====

3.
# Tl6Se3I (PBE-GGA, relaxed)
data_Tl6Se3I
_chemical_formula_sum 'Tl12 Se6 I2'
_cell_length_a 4.524
_cell_length_b 14.317
_cell_length_c 11.577
_cell_angle_alpha 104.92
_cell_angle_beta 90.00
_cell_angle_gamma 90.00
_symmetry_space_group_name_H-M 'P 1'
_symmetry_Int_Tables_number 1
_symmetry_space_group_name_Hall 'P 1'
loop_
_atom_site_label
_atom_site_type_symbol
_atom_site_fract_x
_atom_site_fract_y
_atom_site_fract_z
Tl1 Tl 0.750 0.189 0.534
Tl2 Tl 0.250 0.811 0.466
Tl3 Tl 0.750 0.125 0.055
Tl4 Tl 0.250 0.875 0.945
Tl5 Tl 0.750 0.723 0.731
Tl6 Tl 0.250 0.277 0.269
Tl7 Tl 0.750 0.558 0.371
Tl8 Tl 0.250 0.442 0.629
Tl9 Tl 0.750 0.325 0.904
Tl10 Tl 0.250 0.675 0.096
Tl11 Tl 0.750 0.979 0.321
Tl12 Tl 0.250 0.021 0.679
Se1 Se 0.750 0.359 0.441
Se2 Se 0.250 0.641 0.559
Se3 Se 0.750 0.763 0.290
Se4 Se 0.250 0.237 0.710
Se5 Se 0.750 0.972 0.826
Se6 Se 0.250 0.028 0.174
I1 I 0.750 0.547 0.869
I2 I 0.250 0.453 0.131
# uncorrected energy	-2.99	eV/atom
# DOS(E_F)	3.4	states/eV/f.u.

=====

4.
# Tl5Se2I (PBE-GGA, relaxed)
data_Tl5Se2I
_chemical_formula_sum 'Tl10 Se4 I2'
_cell_length_a 4.916
_cell_length_b 7.013
_cell_length_c 18.463
_cell_angle_alpha 90.00
_cell_angle_beta 90.00
_cell_angle_gamma 110.52
_symmetry_space_group_name_H-M 'P 1'
_symmetry_Int_Tables_number 1
_symmetry_space_group_name_Hall 'P 1'
loop_
_atom_site_label
_atom_site_type_symbol
_atom_site_fract_x
_atom_site_fract_y
_atom_site_fract_z
Tl1 Tl 0.945 0.890 0.874
Tl2 Tl 0.945 0.890 0.626
Tl3 Tl 0.370 0.740 0.510
Tl4 Tl 0.370 0.740 0.990
Tl5 Tl 0.777 0.554 0.250
Tl6 Tl 0.223 0.446 0.750
Tl7 Tl 0.630 0.260 0.490
Tl8 Tl 0.630 0.260 0.010
Tl9 Tl 0.055 0.110 0.126
Tl10 Tl 0.055 0.110 0.374
Se1 Se 0.842 0.683 0.419
Se2 Se 0.842 0.683 0.081
Se3 Se 0.158 0.317 0.581
Se4 Se 0.158 0.317 0.919
I1 I 0.528 0.055 0.750
I2 I 0.472 0.945 0.250
# uncorrected energy	-2.92	eV/atom

=====

5.
# TlSe2I (PBE-GGA, relaxed)
data_TlSe2I
_chemical_formula_sum 'Tl2 Se4 I2'
_cell_length_a 7.610
_cell_length_b 7.610
_cell_length_c 7.205
_cell_angle_alpha 58.12
_cell_angle_beta 58.12
_cell_angle_gamma 90.00
_symmetry_space_group_name_H-M 'P 1'
_symmetry_Int_Tables_number 1
_symmetry_space_group_name_Hall 'P 1'
loop_
_atom_site_label
_atom_site_type_symbol
_atom_site_fract_x
_atom_site_fract_y
_atom_site_fract_z
I1 I 0.500 0.500 0.000
I2 I 0.250 0.750 0.500
Tl1 Tl 0.000 0.000 0.000
Tl2 Tl 0.750 0.250 0.500
Se1 Se 0.658 0.125 0.250
Se2 Se 0.092 0.625 0.250
Se3 Se 0.375 0.342 0.750
Se4 Se 0.875 0.908 0.750
# uncorrected energy	-2.52	eV/atom
# DOS(E_F)	2.8	states/eV/f.u.

=====

6.
# Tl3SeI (PBE-GGA, relaxed)
data_Tl3SeI
_chemical_formula_sum 'Tl3 Se1 I1'
_cell_length_a 6.364
_cell_length_b 6.364
_cell_length_c 6.364
_cell_angle_alpha 90.00
_cell_angle_beta 90.00
_cell_angle_gamma 90.00
_symmetry_space_group_name_H-M 'P 1'
_symmetry_Int_Tables_number 1
_symmetry_space_group_name_Hall 'P 1'
loop_
_atom_site_label
_atom_site_type_symbol
_atom_site_fract_x
_atom_site_fract_y
_atom_site_fract_z
I1 I 0.000 0.000 0.000
Tl1 Tl 0.000 0.500 0.000
Tl2 Tl 0.000 0.000 0.500
Tl3 Tl 0.500 0.000 0.000
Se1 Se 0.500 0.500 0.500
# uncorrected energy	-2.27	eV/atom
# DOS(E_F)	0.0	states/eV/f.u.

=====

7.
# Tl2SeI (PBE-GGA, relaxed)
data_Tl2SeI
_chemical_formula_sum 'Tl8 Se4 I4'
_cell_length_a 6.311
_cell_length_b 6.636
_cell_length_c 13.883
_cell_angle_alpha 90.42
_cell_angle_beta 90.00
_cell_angle_gamma 90.00
_symmetry_space_group_name_H-M 'P 1'
_symmetry_Int_Tables_number 1
_symmetry_space_group_name_Hall 'P 1'
loop_
_atom_site_label
_atom_site_type_symbol
_atom_site_fract_x
_atom_site_fract_y
_atom_site_fract_z
Tl1 Tl 0.750 0.000 0.909
Tl2 Tl 0.250 0.000 0.091
Tl3 Tl 0.750 0.500 0.591
Tl4 Tl 0.250 0.500 0.409
Tl5 Tl 0.750 0.498 0.161
Tl6 Tl 0.250 0.502 0.839
Tl7 Tl 0.750 0.002 0.339
Tl8 Tl 0.250 0.998 0.661
Se1 Se 0.250 0.500 0.623
Se2 Se 0.750 0.500 0.377
Se3 Se 0.250 0.000 0.877
Se4 Se 0.750 0.000 0.123
I1 I 0.250 0.000 0.385
I2 I 0.750 0.000 0.615
I3 I 0.250 0.500 0.115
I4 I 0.750 0.500 0.885
# uncorrected energy	-2.80	eV/atom
# DOS(E_F)	2.5	states/eV/f.u.

=====

8.
# Tl2Se2I (PBE-GGA, relaxed)
data_Tl2Se2I
_chemical_formula_sum 'Tl4 Se4 I2'
_cell_length_a 8.378
_cell_length_b 8.378
_cell_length_c 4.456
_cell_angle_alpha 90.00
_cell_angle_beta 90.00
_cell_angle_gamma 90.00
_symmetry_space_group_name_H-M 'P 1'
_symmetry_Int_Tables_number 1
_symmetry_space_group_name_Hall 'P 1'
loop_
_atom_site_label
_atom_site_type_symbol
_atom_site_fract_x
_atom_site_fract_y
_atom_site_fract_z
I1 I 0.000 0.000 0.000
I2 I 0.500 0.500 0.000
Tl1 Tl 0.139 0.639 0.500
Tl2 Tl 0.639 0.861 0.500
Tl3 Tl 0.861 0.361 0.500
Tl4 Tl 0.361 0.139 0.500
Se1 Se 0.318 0.818 0.000
Se2 Se 0.818 0.682 0.000
Se3 Se 0.682 0.182 0.000
Se4 Se 0.182 0.318 0.000
# uncorrected energy	-2.76	eV/atom
# DOS(E_F)	3.1	states/eV/f.u.

=====

9.
# Tl3SeI (PBE-GGA, relaxed)
data_Tl3SeI
_chemical_formula_sum 'Tl3 Se1 I1'
_cell_length_a 6.196
_cell_length_b 6.196
_cell_length_c 6.196
_cell_angle_alpha 90.00
_cell_angle_beta 90.00
_cell_angle_gamma 90.00
_symmetry_space_group_name_H-M 'P 1'
_symmetry_Int_Tables_number 1
_symmetry_space_group_name_Hall 'P 1'
loop_
_atom_site_label
_atom_site_type_symbol
_atom_site_fract_x
_atom_site_fract_y
_atom_site_fract_z
I1 I 0.500 0.500 0.500
Tl1 Tl 0.000 0.500 0.000
Tl2 Tl 0.000 0.000 0.500
Tl3 Tl 0.500 0.000 0.000
Se1 Se 0.000 0.000 0.000
# uncorrected energy	-2.67	eV/atom
# DOS(E_F)	0.4	states/eV/f.u.

=====

10.
# TlSeI3 (PBE-GGA, relaxed)
data_TlSeI3
_chemical_formula_sum 'Tl4 Se4 I12'
_cell_length_a 4.969
_cell_length_b 21.256
_cell_length_c 15.493
_cell_angle_alpha 138.05
_cell_angle_beta 90.00
_cell_angle_gamma 90.00
_symmetry_space_group_name_H-M 'P 1'
_symmetry_Int_Tables_number 1
_symmetry_space_group_name_Hall 'P 1'
loop_
_atom_site_label
_atom_site_type_symbol
_atom_site_fract_x
_atom_site_fract_y
_atom_site_fract_z
Tl1 Tl 0.751 0.613 0.187
Tl2 Tl 0.249 0.387 0.813
Tl3 Tl 0.251 0.387 0.313
Tl4 Tl 0.749 0.613 0.687
Se1 Se 0.170 0.984 0.534
Se2 Se 0.830 0.016 0.466
Se3 Se 0.670 0.016 0.966
Se4 Se 0.330 0.984 0.034
I1 I 0.008 0.912 0.228
I2 I 0.992 0.088 0.772
I3 I 0.508 0.088 0.272
I4 I 0.492 0.912 0.728
I5 I 0.316 0.811 0.461
I6 I 0.684 0.189 0.539
I7 I 0.816 0.189 0.039
I8 I 0.184 0.811 0.961
I9 I 0.249 0.621 0.554
I10 I 0.751 0.379 0.446
I11 I 0.749 0.379 0.946
I12 I 0.251 0.621 0.054
# uncorrected energy	-2.28	eV/atom
# DOS(E_F)	1.6	states/eV/f.u.

=====

Number 1: spin magnetization 0.000 μB per cell. Number 2: spin magnetization 0.000 μB per cell. Number 3: spin magnetization 0.000 μB per cell. Number 4: spin magnetization 0.000 μB per cell. Number 5: spin magnetization 0.000 μB per cell. Number 6: spin magnetization 0.000 μB per cell. Number 7: spin magnetization 0.000 μB per cell. Number 8: spin magnetization 0.000 μB per cell. Number 9: spin magnetization 0.000 μB per cell. Number 10: spin magnetization 0.000 μB per cell.